Model one:
PBE Sn2HgI2, optimized geometry; space-group type = No. 127
1.0
7.9712 0.0000 0.0000
0.0000 7.9712 0.0000
0.0000 0.0000 5.2152
Sn Hg I
4 2 4
direct
0.1498 0.3502 0.0000 Sn
0.3502 0.8502 0.0000 Sn
0.6498 0.1498 0.0000 Sn
0.8502 0.6498 0.0000 Sn
0.0000 0.0000 0.0000 Hg
0.5000 0.5000 0.0000 Hg
0.1827 0.6827 0.5000 I
0.3173 0.1827 0.5000 I
0.6827 0.8173 0.5000 I
0.8173 0.3173 0.5000 I

***

Model two:
PBE Sn2HgI2, optimized geometry; space-group type = No. 139
1.0
-2.1696 2.1696 10.2135
2.1696 -2.1696 10.2135
2.1696 2.1696 -10.2135
Sn Hg I
2 1 2
direct
0.2500 0.7500 0.5000 Sn
0.7500 0.2500 0.5000 Sn
0.0000 0.0000 0.0000 Hg
0.3801 0.3801 0.0000 I
0.6199 0.6199 0.0000 I

***

Most stable one: model one, least stable one: model two.

***

Model one:
PBE SnHg2I6, optimized geometry; space-group type = No. 15
1.0
7.4941 -6.8558 0.0000
7.4941 6.8558 0.0000
-1.4653 0.0000 7.8099
Sn Hg I
2 4 12
direct
0.1042 0.8958 0.7500 Sn
0.8958 0.1042 0.2500 Sn
0.2327 0.3991 0.6695 Hg
0.3991 0.2327 0.1695 Hg
0.6009 0.7673 0.8305 Hg
0.7673 0.6009 0.3305 Hg
0.0296 0.2086 0.6317 I
0.1292 0.6239 0.8825 I
0.2086 0.0296 0.1317 I
0.2851 0.4687 0.3533 I
0.3761 0.8708 0.6175 I
0.4687 0.2851 0.8533 I
0.5313 0.7149 0.1467 I
0.6239 0.1292 0.3825 I
0.7149 0.5313 0.6467 I
0.7914 0.9704 0.8683 I
0.8708 0.3761 0.1175 I
0.9704 0.7914 0.3683 I

***

Model two:
PBE SnHg2I6, optimized geometry; space-group type = No. 2
1.0
4.5586 0.0000 0.0000
2.2625 8.3466 0.0000
2.1786 3.3020 11.4937
Sn Hg I
1 2 6
direct
0.0000 0.0000 0.0000 Sn
0.1862 0.3245 0.2820 Hg
0.8138 0.6755 0.7180 Hg
0.1624 0.6169 0.1000 I
0.3479 0.7411 0.5665 I
0.3966 0.0281 0.1860 I
0.6034 0.9719 0.8141 I
0.6521 0.2589 0.4335 I
0.8376 0.3831 0.9000 I

***

Most stable one: model one, least stable one: model two.

***

Model one:
PBE SnHgI, optimized geometry; space-group type = No. 156
1.0
4.2804 0.0000 0.0000
-2.1402 3.7069 0.0000
0.0000 0.0000 6.3182
Sn Hg I
1 1 1
direct
0.0000 0.0000 0.0000 Sn
0.3333 0.6667 0.2823 Hg
0.6667 0.3333 0.6500 I

***

Model two:
PBE SnHgI, optimized geometry; space-group type = No. 107
1.0
-2.1483 2.1483 6.2778
2.1483 -2.1483 6.2778
2.1483 2.1483 -6.2778
Sn Hg I
1 1 1
direct
0.0000 0.0000 0.0000 Sn
0.4957 0.4957 0.0000 Hg
0.2250 0.2250 0.0000 I

***

Most stable one: model two, least stable one: model one.